Entry 1:
Density functional theory data (PBE-GGA) for an optimized crystal structure of Mn2NiRh.

Lattice parameters (Å, degrees): 2.606 2.606 7.238 90.00 90.00 90.00
Space group P4mm (No. 99)
Inequivalent atoms, fractional coordinates:
Mn 0.000 0.000 0.000 x1
Mn 0.500 0.500 0.242 x1
Ni 0.000 0.000 0.483 x1
Rh 0.500 0.500 0.747 x1

Results
Calculated formation energy, eV/atom: 0.025


Entry 2:
Density functional theory data (PBE-GGA) for an optimized crystal structure of Er2AlZn3Ni12.

Lattice parameters (Å, degrees): 5.1666 5.1666 33.2922 90.00 90.00 120.00
Space group R-3m (No. 166, hexagonal axes)
Inequivalent atoms, fractional coordinates:
Er 0.0000 0.0000 0.1402 x6
Al 0.0000 0.0000 0.5000 x3
Zn 0.0000 0.5000 0.0000 x9
Ni 0.0025 0.5013 0.1105 x18
Ni 0.0220 0.5110 0.6109 x18

Results
Calculated formation energy, eV/atom: -0.032


Entry 3:
Density functional theory data (PBE-GGA) for an optimized crystal structure of Th8CoTc2.

Lattice parameters (Å, degrees): 7.955 13.476 6.311 90.00 115.33 90.00
Space group Cm (No. 8)
Inequivalent atoms, fractional coordinates:
Th 0.000 0.000 0.000 x2
Th 0.073 0.369 0.794 x4
Th 0.109 0.124 0.559 x4
Th 0.159 0.500 0.355 x2
Th 0.319 0.203 0.180 x4
Co 0.344 0.000 0.419 x2
Tc 0.343 0.307 0.665 x4

Results
Calculated formation energy, eV/atom: -0.020


Entry 4:
Density functional theory data (PBE-GGA) for an optimized crystal structure of Dy2ScGa2Rh5.

Lattice parameters (Å, degrees): 9.973 9.973 3.511 90.00 90.00 90.00
Space group P4/mbm (No. 127)
Inequivalent atoms, fractional coordinates:
Dy 0.173 0.327 0.000 x4
Sc 0.000 0.000 0.000 x2
Ga 0.125 0.625 0.000 x4
Rh 0.000 0.500 0.500 x2
Rh 0.069 0.794 0.500 x8

Results
Calculated formation energy, eV/atom: -0.850


Entry 5:
Density functional theory data (PBE-GGA) for an optimized crystal structure of PbW2AuSe.

Lattice parameters (Å, degrees): 4.628 4.628 5.622 90.00 90.00 90.00
Space group P4/mmm (No. 123)
Inequivalent atoms, fractional coordinates:
Pb 0.000 0.000 0.000 x1
W 0.000 0.500 0.500 x2
Au 0.500 0.500 0.000 x1
Se 0.000 0.000 0.500 x1

Results
Formation energy without anion corrections, kJ per mole of atoms: 151.9


Entry 6:
Density functional theory data (PBE-GGA) for an optimized crystal structure of KNdAg2Cl6.

Lattice parameters (Å, degrees): 7.174 7.183 7.715 90.05 117.66 119.94
Space group P1 (No. 1)
Inequivalent atoms, fractional coordinates:
K 0.000 0.000 0.000 x1
Nd 0.973 0.486 0.458 x1
Ag 0.578 0.289 0.867 x1
Ag 0.599 0.800 0.398 x1
Cl 0.100 0.447 0.179 x1
Cl 0.104 0.214 0.661 x1
Cl 0.447 0.890 0.661 x1
Cl 0.527 0.080 0.179 x1
Cl 0.733 0.653 0.179 x1
Cl 0.772 0.558 0.661 x1

Results
Formation energy without anion corrections, kJ per mole of atoms: -142.1


In the order shown, the computed final energy values come out to -0.57648, -0.35376, -0.58409, -0.49135, -0.41899, -0.27473 Ry/atom.